[1]
# ZnCdBr2

An optimized crystal structure of ZnCdBr2 (PBE, Alexandria via LeMat-Bulk).

a = 7.7454 Å, b = 7.7454 Å, c = 9.6263 Å
α = 90.00°, β = 90.00°, γ = 90.00°
Atoms (fractional coordinates):
Zn 0.0000 0.0000 0.0000
Zn 0.0000 0.5000 0.2500
Zn 0.5000 0.0000 0.7500
Zn 0.5000 0.5000 0.5000
Cd 0.0000 0.0000 0.5000
Cd 0.0000 0.5000 0.7500
Cd 0.5000 0.0000 0.2500
Cd 0.5000 0.5000 0.0000
Br 0.1237 0.7500 0.1250
Br 0.2500 0.1237 0.8750
Br 0.2500 0.3763 0.3750
Br 0.3763 0.7500 0.6250
Br 0.6237 0.2500 0.6250
Br 0.7500 0.6237 0.3750
Br 0.7500 0.8763 0.8750
Br 0.8763 0.2500 0.1250

**Formation energy from raw total energies**: -9.34 kcal/mol of atoms
**Space group**: I-42d, No. 122

[2]
# CeNdTmSn

An optimized crystal structure of CeNdTmSn (PBE, Alexandria via LeMat-Bulk).

a = 7.6647 Å, b = 7.6647 Å, c = 7.6647 Å
α = 90.00°, β = 90.00°, γ = 90.00°
Atoms (fractional coordinates):
Ce 0.0000 0.0000 0.0000
Ce 0.0000 0.5000 0.5000
Ce 0.5000 0.0000 0.5000
Ce 0.5000 0.5000 0.0000
Nd 0.2500 0.2500 0.7500
Nd 0.2500 0.7500 0.2500
Nd 0.7500 0.2500 0.2500
Nd 0.7500 0.7500 0.7500
Tm 0.2500 0.2500 0.2500
Tm 0.2500 0.7500 0.7500
Tm 0.7500 0.2500 0.7500
Tm 0.7500 0.7500 0.2500
Sn 0.0000 0.0000 0.5000
Sn 0.0000 0.5000 0.0000
Sn 0.5000 0.0000 0.0000
Sn 0.5000 0.5000 0.5000

**Space group**: F-43m, No. 216
**Energy of formation from the pure elements**: -0.7 eV per formula unit

[3]
# Cs3Pa4Se12

An optimized crystal structure of Cs3Pa4Se12 (PBE, Alexandria via LeMat-Bulk).

a = 9.5813 Å, b = 9.5813 Å, c = 9.5813 Å
α = 109.47°, β = 109.47°, γ = 109.47°
Atoms (fractional coordinates):
Cs 0.0000 0.5000 0.5000
Cs 0.5000 0.0000 0.5000
Cs 0.5000 0.5000 0.0000
Pa 0.0000 0.0000 0.5000
Pa 0.0000 0.5000 0.0000
Pa 0.5000 0.0000 0.0000
Pa 0.5000 0.5000 0.5000
Se 0.0000 0.2503 0.7497
Se 0.0000 0.7497 0.2503
Se 0.2503 0.0000 0.7497
Se 0.2503 0.2503 0.5005
Se 0.2503 0.5005 0.2503
Se 0.2503 0.7497 0.0000
Se 0.4995 0.7497 0.7497
Se 0.5005 0.2503 0.2503
Se 0.7497 0.0000 0.2503
Se 0.7497 0.2503 0.0000
Se 0.7497 0.4995 0.7497
Se 0.7497 0.7497 0.4995

**Formation energy from raw total energies**: -30.40 kcal/mol of atoms
**Space group**: Im-3m, No. 229

[4]
# CsReH2Br8

An optimized crystal structure of CsReH2Br8 (PBE, Alexandria via LeMat-Bulk).

a = 7.0502 Å, b = 7.0502 Å, c = 10.0455 Å
α = 103.34°, β = 103.34°, γ = 63.37°
Atoms (fractional coordinates):
Cs 0.0000 0.0000 0.0000
Re 0.0000 0.0000 0.5000
H 0.2732 0.2732 0.7774
H 0.7268 0.7268 0.2226
Br 0.2165 0.2165 0.5519
Br 0.2296 0.7503 0.3227
Br 0.2497 0.7704 0.6773
Br 0.3162 0.3162 0.9311
Br 0.6838 0.6838 0.0689
Br 0.7503 0.2296 0.3227
Br 0.7704 0.2497 0.6773
Br 0.7835 0.7835 0.4481

**Total DFT energy (no corrections)**: -3.302 eV per atom
**Space group**: C2/m, No. 12